Entry 1:
{"formula": "YMnOs2", "functional": "PBE", "state": "optimized geometry", "de_polymorph_mev_per_atom": 216, "dos_at_fermi_per_ev_cell": 3.951, "magnetic_moment_mub_per_atom": 0.77, "formation_enthalpy_0k_mev_per_atom": 354.6, "lattice": [[-3.8287, -1.2444, 2.1095], [-3.6631, -1.1516, -2.4316], [-1.3657, -4.3328, -0.1384]], "species": ["Os", "Os", "Y", "Mn"], "frac_coords": [[0.0000, 0.0000, 0.0000], [0.7500, 0.7500, 0.7500], [0.2500, 0.2500, 0.2500], [0.5000, 0.5000, 0.5000]]}

***

Entry 2:
{"formula": "DyPaPb2", "functional": "PBE", "state": "optimized geometry", "de_polymorph_mev_per_atom": 0, "dos_at_fermi_per_ev_cell": 5.536, "magnetic_moment_mub_per_atom": 0.23, "formation_enthalpy_0k_mev_per_atom": -147.8, "lattice": [[-1.4907, -2.4695, 1.5877], [2.3308, -3.7990, -3.7203], [4.6222, -0.5604, 3.4680]], "species": ["Dy", "Pb", "Pb", "Pa"], "frac_coords": [[0.5000, 0.0000, 0.0000], [0.0000, 0.0000, 0.5000], [0.0000, 0.5000, 0.0000], [0.5000, 0.5000, 0.5000]]}

***

Entry 3:
{"formula": "Pm3HoTm4", "functional": "PBE", "state": "optimized geometry", "de_polymorph_mev_per_atom": 5, "dos_at_fermi_per_ev_cell": 10.685, "magnetic_moment_mub_per_atom": 0.00, "formation_enthalpy_0k_mev_per_atom": 22.2, "lattice": [[3.5536, -0.1855, -0.0092], [0.5847, 11.3849, -2.6950], [0.0349, 0.3424, 6.1495]], "species": ["Ho", "Pm", "Pm", "Pm", "Tm", "Tm", "Tm", "Tm"], "frac_coords": [[0.5000, 0.0000, 0.0000], [0.5000, 0.5000, 0.5000], [0.0000, 0.0000, 0.5000], [0.0000, 0.5000, 0.0000], [0.9999, 0.7516, 0.7510], [0.5000, 0.2485, 0.7498], [0.5000, 0.7515, 0.2502], [0.0001, 0.2484, 0.2490]]}

***

Entry 4:
{"formula": "CoHgPb2", "functional": "PBE", "state": "optimized geometry", "dos_at_fermi_per_ev_cell": 4.190, "magnetic_moment_mub_per_atom": 0.27, "formation_enthalpy_0k_mev_per_atom": 323.8, "lattice": [[-0.9618, -2.8514, -1.2647], [0.6387, -1.4724, 2.8424], [-8.2309, 1.5905, 2.6733]], "species": ["Co", "Hg", "Pb", "Pb"], "frac_coords": [[0.0000, 0.0000, 0.5143], [0.5000, 0.5000, 0.6904], [0.5000, 0.5000, 0.3213], [0.0000, 0.0000, 0.9740]]}